Run one
The following is a PBE-GGA calculation of a relaxed structure of Li4AgPb2, from the Alexandria database.

Computed properties:
V: 141.58 Å³/f.u.
space-group type: P2_1/m
crystal system: monoclinic

Geometry as POSCAR:
```
Li4AgPb2
1.0
5.138 0.000 -0.852
0.000 6.311 0.000
-2.840 0.000 9.204
Li Ag Pb
8 2 4
Cartesian
2.510 2.893 2.079 Li
-2.489 4.733 8.101 Li
4.786 1.578 0.251 Li
2.510 0.262 2.079 Li
3.097 1.578 4.596 Li
-0.212 6.048 6.273 Li
-0.212 3.417 6.273 Li
-0.799 4.733 3.756 Li
0.675 4.733 1.613 Ag
1.623 1.578 6.739 Ag
3.109 4.733 -0.239 Pb
-0.811 1.578 8.591 Pb
0.369 1.578 3.864 Pb
1.929 4.733 4.488 Pb
```

Run two
The following is a PBE-GGA calculation of a relaxed structure of Li4AgPb2, from the Alexandria database.

Computed properties:
V: 146.07 Å³/f.u.
space-group type: P4/mmm
crystal system: tetragonal

Geometry as POSCAR:
```
Li4AgPb2
1.0
-3.614 1.811 2.447
2.152 -1.168 4.042
2.981 5.822 0.095
Li Ag Pb
4 1 2
Cartesian
-1.042 2.399 1.248 Li
3.292 3.744 2.091 Li
0.409 5.233 1.294 Li
1.841 0.910 2.045 Li
-0.731 0.322 3.245 Ag
0.000 0.000 0.000 Pb
0.760 3.233 3.292 Pb
```

Which structure is the most stable? The one labeled run one.

Run one
The following is a PBE-GGA calculation of a relaxed structure of Li2TlAgPb, from the Alexandria database.

Computed properties:
V: 115.69 Å³/f.u.
space-group type: Pmma
crystal system: orthorhombic

Geometry as POSCAR:
```
Li2TlAgPb
1.0
-0.854 -6.530 2.123
2.048 -1.823 -4.782
5.582 0.042 2.374
Li Tl Ag Pb
4 2 2 2
Cartesian
4.025 -5.170 2.106 Li
1.340 -5.190 0.964 Li
5.436 -3.121 -1.248 Li
2.751 -3.141 -2.390 Li
1.004 -5.436 -2.263 Tl
0.190 -2.917 -0.395 Tl
0.000 0.000 0.000 Ag
1.024 -0.911 -2.391 Ag
3.176 -1.404 0.307 Pb
3.600 -6.907 -0.591 Pb
```

Run two
The following is a PBE-GGA calculation of a relaxed structure of Li2TlAgPb, from the Alexandria database.

Computed properties:
V: 134.14 Å³/f.u.
space-group type: P4/mmm
crystal system: tetragonal

Geometry as POSCAR:
```
Li2TlAgPb
1.0
-2.535 1.849 -3.963
3.047 -2.782 -3.246
-3.243 -3.867 0.271
Pb Tl Ag Li
1 1 1 2
Cartesian
-1.366 -2.401 -3.470 Pb
0.000 0.000 0.000 Tl
1.523 -1.391 -1.623 Ag
-1.622 -1.934 0.135 Li
-1.267 0.924 -1.982 Li
```

Which structure is the most stable? The one labeled run one.

Run one
The following is a PBE-GGA calculation of a relaxed structure of Li5Ag2Pd5, from the Alexandria database.

Computed properties:
V: 177.18 Å³/f.u.
space-group type: C2/m
crystal system: monoclinic

Geometry as POSCAR:
```
Li5Ag2Pd5
1.0
-0.313 -4.233 -0.184
2.185 1.778 4.416
-9.255 0.651 0.757
Li Ag Pd
5 2 5
Cartesian
-3.844 0.208 1.751 Li
-6.189 -1.789 2.633 Li
-1.194 -0.014 2.356 Li
-3.539 -2.011 3.238 Li
0.000 0.000 0.000 Li
-6.561 0.426 1.344 Ag
-0.822 -2.230 3.645 Ag
-4.784 -1.791 0.286 Pd
-8.683 -1.575 1.955 Pd
-2.165 -2.017 1.036 Pd
-5.218 0.214 3.953 Pd
1.300 -0.228 3.034 Pd
```

Run two
The following is a PBE-GGA calculation of a relaxed structure of Li5Ag2Pd5, from the Alexandria database.

Computed properties:
V: 175.61 Å³/f.u.
space-group type: C2/m
crystal system: monoclinic

Geometry as POSCAR:
```
Li5Ag2Pd5
1.0
4.069 0.000 1.313
1.335 6.172 2.823
-0.009 -0.007 6.987
Li Ag Pd
5 2 5
Cartesian
4.754 4.644 6.150 Li
1.991 4.627 7.751 Li
3.404 1.538 3.373 Li
0.641 1.521 4.973 Li
0.000 0.000 0.000 Li
4.071 3.189 8.266 Ag
1.324 2.976 2.858 Ag
2.697 3.083 5.562 Pd
2.021 1.399 7.659 Pd
2.646 6.128 5.720 Pd
2.749 0.037 5.403 Pd
3.374 4.766 3.465 Pd
```

Which structure is the most stable? The one labeled run two.

Run one
The following is a PBE-GGA calculation of a relaxed structure of LiAgPd2, from the Alexandria database.

Computed properties:
V: 67.49 Å³/f.u.
space-group type: I-42d
crystal system: tetragonal

Geometry as POSCAR:
```
LiAgPd2
1.0
-3.015 0.658 2.195
-0.105 -3.663 0.954
4.130 0.234 8.869
Pd Ag Li
4 2 2
Cartesian
-0.840 0.007 3.690 Pd
0.565 -2.143 3.106 Pd
1.927 -0.981 7.840 Pd
0.369 -2.423 9.399 Pd
0.000 0.000 0.000 Ag
-0.222 -0.305 6.319 Ag
-1.560 -1.502 1.575 Li
1.233 -2.466 5.699 Li
```

Run two
The following is a PBE-GGA calculation of a relaxed structure of LiAgPd2, from the Alexandria database.

Computed properties:
V: 61.76 Å³/f.u.
space-group type: Ima2
crystal system: orthorhombic

Geometry as POSCAR:
```
LiAgPd2
1.0
5.515 0.325 -0.829
-3.375 3.943 -2.067
0.827 -0.325 5.516
Li Ag Pd
2 2 4
Cartesian
-0.703 1.970 -0.309 Li
2.465 1.973 2.038 Li
4.153 0.000 3.069 Ag
-0.292 1.809 2.450 Ag
0.368 4.104 -1.756 Pd
1.397 -0.161 3.486 Pd
0.986 0.000 0.729 Pd
2.056 2.134 -0.720 Pd
```

Which structure is the most stable? The one labeled run two.

Run one
The following is a PBE-GGA calculation of a relaxed structure of LiAgPd2, from the Alexandria database.

Computed properties:
V: 62.00 Å³/f.u.
space-group type: I-4m2
crystal system: tetragonal

Geometry as POSCAR:
```
LiAgPd2
1.0
3.994 0.000 0.000
0.000 3.994 0.000
-1.997 -1.997 3.887
Li Ag Pd
1 1 2
Cartesian
0.000 0.000 0.000 Li
0.000 1.997 1.943 Ag
1.997 1.997 0.000 Pd
1.997 0.000 1.943 Pd
```

Run two
The following is a PBE-GGA calculation of a relaxed structure of LiAgPd2, from the Alexandria database.

Computed properties:
V: 59.57 Å³/f.u.
space-group type: P4/mmm
crystal system: tetragonal

Geometry as POSCAR:
```
LiAgPd2
1.0
-2.900 -0.402 -0.346
-0.072 -1.606 2.471
-1.221 5.670 3.650
Pd Ag Li
2 1 1
Cartesian
-0.955 4.434 2.855 Pd
-0.266 1.236 0.795 Pd
-2.097 1.831 2.888 Ag
-1.486 -1.004 1.063 Li
```

Run three
The following is a PBE-GGA calculation of a relaxed structure of LiAgPd2, from the Alexandria database.

Computed properties:
V: 62.35 Å³/f.u.
space-group type: F-43m
crystal system: cubic

Geometry as POSCAR:
```
LiAgPd2
1.0
-3.228 -2.833 1.166
1.039 -4.022 1.598
-0.695 -0.935 4.296
Li Ag Pd
1 1 2
Cartesian
-2.163 -5.843 5.295 Li
-1.442 -3.895 3.530 Ag
-0.695 -0.936 4.296 Pd
-0.721 -1.948 1.765 Pd
```

Run four
The following is a PBE-GGA calculation of a relaxed structure of LiAgPd2, from the Alexandria database.

Computed properties:
V: 61.86 Å³/f.u.
space-group type: P4/mmm
crystal system: tetragonal

Geometry as POSCAR:
```
LiAgPd2
1.0
-2.546 3.003 0.794
-2.237 -2.451 2.096
2.051 0.886 3.226
Pd Ag Li
2 1 1
Cartesian
1.026 0.443 1.613 Pd
-1.119 -1.225 1.048 Pd
-1.273 1.502 0.397 Ag
-1.366 0.720 3.058 Li
```

Which structure is the most stable? The one labeled run four.

Run one
The following is a PBE-GGA calculation of a relaxed structure of Li2Ag4Pd3, from the Alexandria database.

Computed properties:
V: 145.01 Å³/f.u.
space-group type: P-1
crystal system: triclinic

Geometry as POSCAR:
```
Li2Ag4Pd3
1.0
4.073 0.000 -0.004
2.034 4.250 1.160
-0.009 0.264 8.450
Li Ag Pd
2 4 3
Cartesian
2.029 1.645 6.909 Li
4.070 2.868 2.697 Li
4.063 3.072 8.288 Ag
2.031 4.322 3.963 Ag
4.067 0.192 5.643 Ag
2.035 1.441 1.318 Ag
2.032 1.527 4.172 Pd
0.000 0.000 0.000 Pd
4.066 2.986 5.434 Pd
```

Run two
The following is a PBE-GGA calculation of a relaxed structure of Li2Ag4Pd3, from the Alexandria database.

Computed properties:
V: 144.46 Å³/f.u.
space-group type: C2/m
crystal system: monoclinic

Geometry as POSCAR:
```
Li2Ag4Pd3
1.0
-2.192 -3.320 0.656
2.123 -0.231 5.922
-3.923 4.953 -0.431
Li Ag Pd
2 4 3
Cartesian
-3.421 2.248 -0.055 Li
-0.570 -0.845 6.202 Li
-0.939 -1.378 2.275 Ag
-2.436 0.008 4.289 Ag
-3.052 2.781 3.872 Ag
-1.555 1.394 1.858 Ag
-4.285 0.807 2.156 Pd
0.294 0.595 3.991 Pd
0.000 0.000 0.000 Pd
```

Which structure is the most stable? The one labeled run one.